TcAgP: relaxed, GGA-PBEsol.

The energy of formation from the pure elements is 0.056 eV per atom. The calculation puts the distance to the lowest polymorph of the same formula at 0 meV/atom.

It has space group P3m1 (No. 156), with a = 3.9450 Å, b = 3.9450 Å, c = 3.3577 Å, α = 90.00°, β = 90.00° and γ = 120.00°. Symmetry generates all atoms from Tc at (0.0000, 0.0000, 0.0000), Ag at (0.6667, 0.3333, 0.4938) and P at (0.3333, 0.6667, 0.9574).